P:
Here is an optimized crystal structure of Mg3In2Pb3 from Alexandria via LeMat-Bulk. Energies are from PBE.

Calculated values
N(E_F) (states/eV/cell): 4.9

Unit cell a=8.4644 b=8.4644 c=10.3919 alpha=90.00 beta=90.00 gamma=120.00
Closest atoms and distances in Å follow each position.
Space group R32 (No. 155, hexagonal axes)
Symmetry-distinct sites (fractional):
Mg 0.0000 0.7413 0.0000 [9 per cell]  2 Pb 3.00, 4 In 3.26-3.35
In 0.0000 0.0000 0.2325 [6 per cell]  6 Mg 3.26-3.35, 6 Pb 3.29-3.50
Pb 0.0000 0.2518 0.5000 [9 per cell]  2 Mg 3.00, 2 In 3.29

=====

Q:
Here is an optimized crystal structure of Mg3In2Pb3 from Alexandria via LeMat-Bulk. Energies are from PBE.

Calculated values
N(E_F) (states/eV/cell): 5.9

Unit cell a=4.3784 b=4.8632 c=19.9167 alpha=90.00 beta=90.00 gamma=90.00
Closest atoms and distances in Å follow each position.
Space group Immm (No. 71)
Symmetry-distinct sites (fractional):
Mg 0.0000 0.0000 0.0000 [2 per cell]  8 Pb 3.27-3.29, 4 Mg 3.52
Mg 0.0000 0.5000 0.1275 [4 per cell]  4 In 3.25-3.47, 6 Pb 3.27-3.35, 2 Mg 3.52
In 0.0000 0.0000 0.2516 [4 per cell]  4 Mg 3.25-3.47, 4 In 3.27, 4 Pb 3.37-3.48
Pb 0.0000 0.0000 0.5000 [2 per cell]  8 Mg 3.27-3.35, 4 Pb 3.45
Pb 0.0000 0.5000 0.3770 [4 per cell]  6 Mg 3.27-3.29, 4 In 3.37-3.48, 2 Pb 3.45

=====

Most stable to least stable, the ends of the list are Q and P.

=====

P:
Here is an optimized crystal structure of Mg4InPb from Alexandria via LeMat-Bulk. Energies are from PBE.

Calculated values
N(E_F) (states/eV/cell): 6.2

Unit cell a=8.4260 b=8.4260 c=8.4260 alpha=90.00 beta=90.00 gamma=90.00
Closest atoms and distances in Å follow each position.
Space group F-43m (No. 216)
Symmetry-distinct sites (fractional):
Mg 0.1250 0.1250 0.1250 [16 per cell]  6 Mg 2.98
In 0.2500 0.2500 0.7500 [4 per cell]  12 Mg 3.49, 4 Pb 3.65
Pb 0.0000 0.0000 0.5000 [4 per cell]  12 Mg 3.49, 4 In 3.65

=====

Q:
Here is an optimized crystal structure of Mg4InPb from Alexandria via LeMat-Bulk. Energies are from PBE.

Calculated values
N(E_F) (states/eV/cell): 4.3

Unit cell a=8.4285 b=4.8626 c=8.4089 alpha=90.00 beta=109.68 gamma=90.00
Closest atoms and distances in Å follow each position.
Space group C2/m (No. 12)
Symmetry-distinct sites (fractional):
Mg 0.1222 0.0000 0.3675 [4 per cell]  1 In 2.91, 3 Pb 3.00
Mg 0.1276 0.5000 0.8831 [4 per cell]  3 In 2.96, 1 Pb 3.03
In 0.0000 0.0000 0.0000 [2 per cell]  8 Mg 2.91-2.96
Pb 0.0000 0.5000 0.5000 [2 per cell]  8 Mg 3.00-3.03

=====

Most stable to least stable, the ends of the list are Q and P.

=====

P:
Here is an optimized crystal structure of Mg5In3Pb3 from Alexandria via LeMat-Bulk. Energies are from PBE.

Calculated values
N(E_F) (states/eV/cell): 4.3

Unit cell a=3.5043 b=8.9765 c=10.3201 alpha=115.73 beta=90.08 gamma=100.04
Closest atoms and distances in Å follow each position.
Space group P1 (No. 1)
Symmetry-distinct sites (fractional):
Mg 0.0000 0.0000 0.0000 [1 per cell]  4 In 3.05-3.18, 3 Pb 3.15-3.24, 2 Mg 3.25-3.34
Mg 0.0050 0.9921 0.4847 [1 per cell]  3 In 3.07-3.10, 4 Pb 3.20-3.31, 2 Mg 3.27-3.38
Mg 0.1602 0.3206 0.3457 [1 per cell]  6 In 3.16-3.21, 2 Pb 3.25-3.27, 4 Mg 3.41-3.50
Mg 0.3267 0.6565 0.2664 [1 per cell]  5 In 3.04-3.22, 2 Pb 3.21-3.23, 2 Mg 3.27-3.38
Mg 0.3326 0.6816 0.7649 [1 per cell]  2 In 3.09-3.10, 5 Pb 3.14-3.23, 2 Mg 3.25-3.34
In 0.5028 0.9882 0.2392 [1 per cell]  7 Mg 3.05-3.19
In 0.6604 0.3281 0.0924 [1 per cell]  6 Mg 3.13-3.22, 2 Pb 3.25-3.27
In 0.8186 0.6541 0.5082 [1 per cell]  7 Mg 3.04-3.21
Pb 0.5227 0.0346 0.7584 [1 per cell]  5 Mg 3.15-3.21, 1 In 3.27, 2 Pb 3.50
Pb 0.6739 0.3421 0.6198 [1 per cell]  6 Mg 3.21-3.31, 1 In 3.43, 4 Pb 3.50-3.59
Pb 0.8100 0.6314 0.9959 [1 per cell]  5 Mg 3.14-3.24, 2 In 3.25-3.46, 2 Pb 3.50

=====

Q:
Here is an optimized crystal structure of Mg5In3Pb3 from Alexandria via LeMat-Bulk. Energies are from PBE.

Calculated values
N(E_F) (states/eV/cell): 6.7

Unit cell a=10.1111 b=10.1111 c=3.5266 alpha=90.00 beta=90.00 gamma=120.00
Closest atoms and distances in Å follow each position.
Space group P-62m (No. 189)
Symmetry-distinct sites (fractional):
Mg 0.0000 0.8312 0.0000 [3 per cell]  2 In 2.94, 2 Mg 2.96, 2 Pb 3.02
Mg 0.3333 0.6667 0.0000 [2 per cell]  3 In 3.36, 6 Pb 3.53, 2 Mg 3.53
In 0.0000 0.3361 0.0000 [3 per cell]  2 Mg 2.94, 2 Pb 3.10
Pb 0.0000 0.5883 0.5000 [3 per cell]  2 Mg 3.02, 2 In 3.10

=====

Most stable to least stable, the ends of the list are P and Q.

=====

P:
Here is an optimized crystal structure of Mg7InPb4 from Alexandria via LeMat-Bulk. Energies are from PBE.

Calculated values
N(E_F) (states/eV/cell): 11.9

Unit cell a=11.9794 b=5.6579 c=11.2948 alpha=90.00 beta=121.86 gamma=90.00
Closest atoms and distances in Å follow each position.
Space group C2/m (No. 12)
Symmetry-distinct sites (fractional):
Mg 0.0000 0.0000 0.0000 [2 per cell]  2 In 2.83, 2 Pb 3.11
Mg 0.1159 0.5000 0.4570 [4 per cell]  5 Pb 3.08-3.19, 4 Mg 3.17-3.39
Mg 0.1696 0.0000 0.6267 [4 per cell]  4 Mg 3.05-3.28, 4 Pb 3.14-3.41
Mg 0.2169 0.0000 0.9201 [4 per cell]  1 In 3.01, 4 Mg 3.05-3.22, 4 Pb 3.06-3.22
In 0.0000 0.5000 0.0000 [2 per cell]  4 Mg 2.83-3.01
Pb 0.0787 0.0000 0.3098 [4 per cell]  7 Mg 3.09-3.41, 1 Pb 3.44
Pb 0.1796 0.5000 0.7673 [4 per cell]  8 Mg 3.06-3.32

=====

Q:
Here is an optimized crystal structure of Mg7InPb4 from Alexandria via LeMat-Bulk. Energies are from PBE.

Calculated values
N(E_F) (states/eV/cell): 4.8

Unit cell a=5.1688 b=5.1688 c=13.2222 alpha=90.00 beta=90.00 gamma=120.00
Closest atoms and distances in Å follow each position.
Space group P-3m1 (No. 164)
Symmetry-distinct sites (fractional):
Mg 0.0000 0.0000 0.0000 [1 per cell]  6 Pb 3.20, 2 Mg 3.29
Mg 0.0000 0.0000 0.2492 [2 per cell]  4 Mg 3.19-3.29, 3 Pb 3.21, 1 In 3.32
Mg 0.3333 0.6667 0.1634 [2 per cell]  4 Pb 3.15-3.31, 4 Mg 3.19-3.34
Mg 0.3333 0.6667 0.4161 [2 per cell]  4 Pb 3.15-3.24, 3 In 3.18, 1 Mg 3.34
In 0.0000 0.0000 0.5000 [1 per cell]  8 Mg 3.18-3.32
Pb 0.3333 0.6667 0.6611 [2 per cell]  7 Mg 3.15-3.24, 1 Pb 3.33
Pb 0.3333 0.6667 0.9133 [2 per cell]  7 Mg 3.15-3.31, 1 Pb 3.33

=====

Most stable to least stable, the ends of the list are Q and P.

=====

P:
Here is an optimized crystal structure of Mg4In2Pb from Alexandria via LeMat-Bulk. Energies are from PBE.

Calculated values
N(E_F) (states/eV/cell): 11.3

Unit cell a=7.4937 b=7.4937 c=6.5203 alpha=90.00 beta=90.00 gamma=90.00
Closest atoms and distances in Å follow each position.
Space group I4/mmm (No. 139)
Symmetry-distinct sites (fractional):
Mg 0.2500 0.2500 0.2500 [8 per cell]  4 In 3.11, 2 Pb 3.11, 2 Mg 3.26
In 0.0000 0.5000 0.0000 [4 per cell]  8 Mg 3.11, 2 In 3.26
Pb 0.0000 0.0000 0.0000 [2 per cell]  8 Mg 3.11

=====

Q:
Here is an optimized crystal structure of Mg4In2Pb from Alexandria via LeMat-Bulk. Energies are from PBE.

Calculated values
N(E_F) (states/eV/cell): 6.2

Unit cell a=5.0873 b=5.0873 c=15.3979 alpha=90.00 beta=90.00 gamma=120.00
Closest atoms and distances in Å follow each position.
Space group P6_3/mmc (No. 194)
Symmetry-distinct sites (fractional):
Mg 0.0000 0.0000 0.0000 [2 per cell]  6 In 3.06
Mg 0.3333 0.6667 0.1437 [4 per cell]  4 In 3.08-3.23, 4 Mg 3.27-3.36, 3 Pb 3.36
Mg 0.3333 0.6667 0.7500 [2 per cell]  3 Pb 2.94, 2 In 2.98
In 0.3333 0.6667 0.5565 [4 per cell]  8 Mg 2.98-3.23
Pb 0.0000 0.0000 0.2500 [2 per cell]  3 Mg 2.94

=====

Most stable to least stable, the ends of the list are Q and P.

=====

P:
Here is an optimized crystal structure of MgIn2Pb5 from Alexandria via LeMat-Bulk. Energies are from PBE.

Calculated values
N(E_F) (states/eV/cell): 9.9

Unit cell a=6.9386 b=14.0097 c=4.8307 alpha=90.00 beta=90.00 gamma=90.00
Closest atoms and distances in Å follow each position.
Space group Pbam (No. 55)
Symmetry-distinct sites (fractional):
Mg 0.0000 0.0000 0.0000 [2 per cell]  8 Pb 3.27-3.51, 4 In 3.52
In 0.2333 0.3731 0.5000 [4 per cell]  10 Pb 3.37-3.62, 2 Mg 3.52
Pb 0.0000 0.5000 0.0000 [2 per cell]  4 In 3.41, 2 Mg 3.47, 6 Pb 3.50-3.51
Pb 0.0248 0.7500 0.0000 [4 per cell]  4 In 3.41-3.47, 7 Pb 3.47-3.55, 1 Mg 3.51
Pb 0.2182 0.1150 0.5000 [4 per cell]  2 Mg 3.27, 4 In 3.37-3.62, 6 Pb 3.50-3.55

=====

Q:
Here is an optimized crystal structure of MgIn2Pb5 from Alexandria via LeMat-Bulk. Energies are from PBE.

Calculated values
N(E_F) (states/eV/cell): 9.6

Unit cell a=7.1636 b=11.4669 c=6.7603 alpha=90.00 beta=121.99 gamma=90.00
Closest atoms and distances in Å follow each position.
Space group Cm (No. 8)
Symmetry-distinct sites (fractional):
Mg 0.0000 0.0000 0.0000 [2 per cell]  10 Pb 3.38-3.59
In 0.2496 0.2500 0.4992 [4 per cell]  8 Pb 3.38, 2 In 3.58
Pb 0.9997 0.0000 0.4995 [2 per cell]  2 Mg 3.38, 4 Pb 3.38-3.58, 4 In 3.38
Pb 0.0005 0.5000 0.5009 [2 per cell]  2 Mg 3.38, 4 Pb 3.38-3.58, 4 In 3.38
Pb 0.2496 0.2503 0.9991 [4 per cell]  2 Mg 3.38, 4 In 3.38, 4 Pb 3.38-3.58
Pb 0.4992 0.0000 0.0003 [2 per cell]  8 Pb 3.38, 2 Mg 3.58-3.59

=====

Most stable to least stable, the ends of the list are P and Q.

=====

P:
Here is an optimized crystal structure of Mg3In3Pb from Alexandria via LeMat-Bulk. Energies are from PBE.

Calculated values
N(E_F) (states/eV/cell): 6.2

Unit cell a=7.9285 b=7.9285 c=7.9285 alpha=90.00 beta=90.00 gamma=90.00
Closest atoms and distances in Å follow each position.
Space group Pm-3n (No. 223)
Symmetry-distinct sites (fractional):
Mg 0.0000 0.2500 0.5000 [6 per cell]  4 In 2.80
In 0.0000 0.5000 0.2500 [6 per cell]  4 Mg 2.80
Pb 0.0000 0.0000 0.0000 [2 per cell]  12 In 4.43, 12 Mg 4.43

=====

Q:
Here is an optimized crystal structure of Mg3In3Pb from Alexandria via LeMat-Bulk. Energies are from PBE.

Calculated values
N(E_F) (states/eV/cell): 10.4

Unit cell a=9.8445 b=10.2707 c=7.0858 alpha=90.00 beta=90.00 gamma=90.00
Closest atoms and distances in Å follow each position.
Space group Cmmm (No. 65)
Symmetry-distinct sites (fractional):
Mg 0.0000 0.0000 0.2335 [4 per cell]  6 In 3.18-3.23, 2 Pb 3.29, 5 Mg 3.31-3.56
Mg 0.2500 0.2500 0.2450 [8 per cell]  6 In 3.02-3.11, 2 Pb 3.15
In 0.0000 0.2495 0.5000 [4 per cell]  6 Mg 3.05-3.18, 2 Pb 3.40
In 0.0000 0.2704 0.0000 [4 per cell]  6 Mg 3.02-3.23, 2 In 3.21
In 0.2219 0.5000 0.0000 [4 per cell]  6 Mg 3.11-3.20, 2 In 3.21
Pb 0.2263 0.5000 0.5000 [4 per cell]  6 Mg 3.15-3.29, 2 In 3.40

=====

Most stable to least stable, the ends of the list are Q and P.

=====

P:
Here is an optimized crystal structure of Mg4InPb2 from Alexandria via LeMat-Bulk. Energies are from PBE.

Calculated values
N(E_F) (states/eV/cell): 7.4

Unit cell a=5.3625 b=5.3625 c=15.1321 alpha=90.00 beta=90.00 gamma=90.00
Closest atoms and distances in Å follow each position.
Space group I4/mmm (No. 139)
Symmetry-distinct sites (fractional):
Mg 0.0000 0.0000 0.1867 [4 per cell]  1 In 2.82, 1 Pb 2.93
Mg 0.0000 0.5000 0.0000 [4 per cell]  2 In 2.68
In 0.0000 0.0000 0.0000 [2 per cell]  6 Mg 2.68-2.82
Pb 0.0000 0.0000 0.3806 [4 per cell]  5 Mg 2.93-3.23

=====

Q:
Here is an optimized crystal structure of Mg4InPb2 from Alexandria via LeMat-Bulk. Energies are from PBE.

Calculated values
N(E_F) (states/eV/cell): 12.0

Unit cell a=8.8987 b=12.7836 c=7.7782 alpha=90.00 beta=124.78 gamma=90.00
Closest atoms and distances in Å follow each position.
Space group Cc (No. 9)
Symmetry-distinct sites (fractional):
Mg 0.0000 0.0017 0.0000 [4 per cell]  4 Pb 3.07-3.18, 2 In 3.10-3.15, 3 Mg 3.32-3.38
Mg 0.1707 0.3342 0.6643 [4 per cell]  4 Pb 3.07-3.17, 2 In 3.10-3.15, 3 Mg 3.32-3.39
Mg 0.4183 0.2518 0.3362 [4 per cell]  4 Pb 3.07-3.17, 2 In 3.10-3.15, 3 Mg 3.32-3.39
Mg 0.4230 0.0838 0.6711 [4 per cell]  4 Pb 3.07-3.18, 2 In 3.09-3.15, 3 Mg 3.32-3.38
In 0.2533 0.1251 0.9182 [4 per cell]  8 Mg 3.09-3.15
Pb 0.0699 0.1831 0.3022 [4 per cell]  8 Mg 3.07-3.18
Pb 0.1859 0.4327 0.0341 [4 per cell]  8 Mg 3.07-3.18

=====

Most stable to least stable, the ends of the list are Q and P.

=====

P:
Here is an optimized crystal structure of MgInPb3 from Alexandria via LeMat-Bulk. Energies are from PBE.

Calculated values
N(E_F) (states/eV/cell): 4.1

Unit cell a=4.7360 b=6.9734 c=9.1789 alpha=90.00 beta=104.21 gamma=90.00
Closest atoms and distances in Å follow each position.
Space group P2_1/m (No. 11)
Symmetry-distinct sites (fractional):
Mg 0.0013 0.2500 0.0026 [2 per cell]  1 In 3.32, 9 Pb 3.36-3.40, 2 Mg 3.49
In 0.1841 0.7500 0.3707 [2 per cell]  8 Pb 3.20-3.49, 1 Mg 3.32
Pb 0.1880 0.2500 0.3819 [2 per cell]  4 In 3.20-3.49, 1 Mg 3.38, 4 Pb 3.42-3.43
Pb 0.4054 0.0033 0.8132 [4 per cell]  5 Pb 3.33-3.53, 2 In 3.35-3.36, 4 Mg 3.36-3.40

=====

Q:
Here is an optimized crystal structure of MgInPb3 from Alexandria via LeMat-Bulk. Energies are from PBE.

Calculated values
N(E_F) (states/eV/cell): 3.3

Unit cell a=5.5470 b=5.5470 c=5.5470 alpha=90.00 beta=90.00 gamma=90.00
Closest atoms and distances in Å follow each position.
Space group Pm-3m (No. 221)
Symmetry-distinct sites (fractional):
Mg 0.0000 0.0000 0.0000 [1 per cell]  6 Pb 2.77
In 0.5000 0.5000 0.5000 [1 per cell]  12 Pb 3.92
Pb 0.0000 0.0000 0.5000 [3 per cell]  2 Mg 2.77

=====

Most stable to least stable, the ends of the list are P and Q.

=====

P:
Here is an optimized crystal structure of Mg2InPb3 from Alexandria via LeMat-Bulk. Energies are from PBE.

Calculated values
N(E_F) (states/eV/cell): 8.5

Unit cell a=6.6999 b=8.5395 c=11.9837 alpha=90.00 beta=92.62 gamma=90.00
Closest atoms and distances in Å follow each position.
Space group C2/c (No. 15)
Symmetry-distinct sites (fractional):
Mg 0.1236 0.2490 0.1288 [8 per cell]  2 In 3.13-3.29, 6 Pb 3.15-3.35, 1 Mg 3.41
In 0.0000 0.4438 0.7500 [4 per cell]  4 Mg 3.13-3.29, 7 Pb 3.25-3.50
Pb 0.0000 0.0627 0.7500 [4 per cell]  4 Mg 3.16-3.27, 3 In 3.25-3.50, 4 Pb 3.51-3.52
Pb 0.2463 0.4462 0.4996 [8 per cell]  4 Mg 3.15-3.35, 5 Pb 3.35-3.52, 2 In 3.48-3.49

=====

Q:
Here is an optimized crystal structure of Mg2InPb3 from Alexandria via LeMat-Bulk. Energies are from PBE.

Calculated values
N(E_F) (states/eV/cell): 2.4

Unit cell a=3.5424 b=3.5424 c=13.0639 alpha=90.00 beta=90.00 gamma=90.00
Closest atoms and distances in Å follow each position.
Space group P4/mmm (No. 123)
Symmetry-distinct sites (fractional):
Mg 0.0000 0.0000 0.1584 [2 per cell]  8 Pb 3.25, 4 Mg 3.54
In 0.0000 0.0000 0.5000 [1 per cell]  8 Pb 3.46, 4 In 3.54
Pb 0.5000 0.5000 0.0000 [1 per cell]  8 Mg 3.25, 4 Pb 3.54
Pb 0.5000 0.5000 0.3172 [2 per cell]  4 Mg 3.25, 4 In 3.46, 4 Pb 3.54

=====

Most stable to least stable, the ends of the list are Q and P.